SrTbGa2Rh2 | PBE-GGA | optimized geometry

a b c (Å): 4.3470 4.3470 8.0631
angles (deg): 90.00 90.00 120.00
Positions (direct):
Sr1 0.0000 0.0000 0.0000
Tb1 0.0000 0.0000 0.5000
Ga1 0.3333 0.6667 0.2774
Ga2 0.6667 0.3333 0.7226
Rh1 0.3333 0.6667 0.7027
Rh2 0.6667 0.3333 0.2973

Results
ΔH_f (0 K) in eV per atom: -0.712
Magnetization in μB/atom: 0.000
SG: P-3m1 (164)

***

Sr2Ga6TcRh | PBE-GGA | optimized geometry

a b c (Å): 6.8419 6.8419 6.8397
angles (deg): 119.96 119.96 90.03
Positions (direct):
Sr1 0.2500 0.7500 0.0000
Sr2 0.7500 0.2500 0.0000
Ga1 0.2490 0.2490 0.4999
Ga2 0.2490 0.2490 0.9980
Ga3 0.2490 0.7510 0.5000
Ga4 0.7510 0.2490 0.5000
Ga5 0.7510 0.7510 0.0020
Ga6 0.7510 0.7510 0.5001
Tc1 0.5000 0.5000 0.5000
Rh1 0.0000 0.0000 0.5000

Results
ΔH_f (0 K) in eV per atom: -0.395
Magnetization in μB/atom: 0.000
SG: C2/m (12)

***

Sr2GaTeRh | PBE-GGA | optimized geometry

a b c (Å): 5.7417 5.7417 4.7699
angles (deg): 90.00 90.00 90.00
Positions (direct):
Sr1 0.0000 0.5000 0.0000
Sr2 0.5000 0.0000 0.0000
Ga1 0.0000 0.0000 0.5000
Te1 0.5000 0.5000 0.5000
Rh1 0.0000 0.0000 0.0000

Results
Magnetization in μB/atom: 0.000
E_form (uncorrected) in eV per formula unit: -3.80
Energy relative to the lowest polymorph listed for this composition in meV/atom: 0
SG: P4/mmm (123)

***

Sr2GaTeRh | PBE-GGA | optimized geometry

a b c (Å): 6.0869 6.0869 5.3589
angles (deg): 90.00 90.00 90.00
Positions (direct):
Sr1 0.0000 0.5000 0.0000
Sr2 0.5000 0.0000 0.0000
Ga1 0.0000 0.0000 0.5000
Te1 0.0000 0.0000 0.0000
Rh1 0.5000 0.5000 0.5000

Results
Magnetization in μB/atom: 0.031
E_form (uncorrected) in eV per formula unit: 1.59
Energy relative to the lowest polymorph listed for this composition in meV/atom: 1079
SG: P4/mmm (123)

***

SrTl2GaRh | PBE-GGA | optimized geometry

a b c (Å): 5.3317 5.3317 4.8272
angles (deg): 90.00 90.00 90.00
Positions (direct):
Sr1 0.0000 0.0000 0.0000
Tl1 0.0000 0.5000 0.5000
Tl2 0.5000 0.0000 0.5000
Ga1 0.5000 0.5000 0.0000
Rh1 0.5000 0.5000 0.5000

Results
ΔH_f (0 K) in eV per atom: -0.199
Magnetization in μB/atom: 0.000
SG: P4/mmm (123)

***

Sr2TlGa2Rh5 | PBE-GGA | optimized geometry

a b c (Å): 10.3819 10.3819 3.4843
angles (deg): 90.00 90.00 90.00
Positions (direct):
Sr1 0.1758 0.3242 0.0000
Sr2 0.3242 0.8242 0.0000
Sr3 0.6758 0.1758 0.0000
Sr4 0.8242 0.6758 0.0000
Tl1 0.0000 0.0000 0.0000
Tl2 0.5000 0.5000 0.0000
Ga1 0.1232 0.6232 0.0000
Ga2 0.3768 0.1232 0.0000
Ga3 0.6232 0.8768 0.0000
Ga4 0.8768 0.3768 0.0000
Rh1 0.0000 0.5000 0.5000
Rh2 0.0644 0.7879 0.5000
Rh3 0.2121 0.0644 0.5000
Rh4 0.2879 0.5644 0.5000
Rh5 0.4356 0.2879 0.5000
Rh6 0.5000 0.0000 0.5000
Rh7 0.5644 0.7121 0.5000
Rh8 0.7121 0.4356 0.5000
Rh9 0.7879 0.9356 0.5000
Rh10 0.9356 0.2121 0.5000

Results
ΔH_f (0 K) in eV per atom: -0.399
Magnetization in μB/atom: 0.000
SG: P4/mbm (127)